Pr2AsPt8 | PBE | optimized geometry

abc: 4.309 9.278 9.278
angles: 145.49 90.00 90.00
Atoms (fractional coordinates):
Pt (0.500, 0.989, 0.989)
Pr (0.500, 0.373, 0.622)
As (0.000, 0.232, 0.232)
Pt (0.500, 0.790, 0.196)
Pt (0.000, 0.653, 0.653)
Pr (0.500, 0.622, 0.373)
Pt (0.000, 0.985, 0.489)
Pt (0.500, 0.196, 0.790)
Pt (0.000, 0.106, 0.879)
Pt (0.000, 0.879, 0.106)
Pt (0.000, 0.489, 0.985)

Results
Space-group type: Amm2 (38)
M_tot: 0.01 μB/cell
Energy: -6.499 eV/atom